No. 1
A relaxed CsBaUO4 crystal, computed with PBE-GGA.

Lattice parameters (Å, degrees): 7.698 7.698 7.698 146.21 146.21 48.53
Fractional coordinates of all 7 atoms:
Cs1 0.000 0.000 0.000
Ba1 0.704 0.704 0.000
U1 0.348 0.348 0.000
O1 0.202 0.202 0.000
O2 0.333 0.833 0.500
O3 0.494 0.494 0.000
O4 0.833 0.333 0.500

Calculated values
theoretical density = 6764 kg/m³
SG = I4mm, No. 107
density of states at the Fermi level = 1.2 states/eV/f.u.
raw formation energy = -271 kJ/mol of atoms
size of the total moment = 1.0 μB per formula unit

No. 2
A relaxed LiSc2Ag crystal, computed with PBE-GGA.

Lattice parameters (Å, degrees): 6.189 6.189 6.189 102.67 102.67 124.14
Fractional coordinates of all 8 atoms:
Li1 0.000 0.000 0.000
Li2 0.750 0.250 0.500
Sc1 0.137 0.125 0.512
Sc2 0.375 0.863 0.988
Sc3 0.613 0.625 0.488
Sc4 0.875 0.387 0.012
Ag1 0.250 0.750 0.500
Ag2 0.500 0.500 0.000

Calculated values
theoretical density = 3923 kg/m³
SG = I-42d, No. 122
formation enthalpy at 0 K = 0.223 eV/atom
density of states at the Fermi level = 5.9 states/eV/f.u.
size of the total moment = 0.0 μB per formula unit

No. 3
A relaxed CsNb2Rh crystal, computed with PBE-GGA.

Lattice parameters (Å, degrees): 9.579 9.579 9.579 149.19 149.19 44.14
Fractional coordinates of all 8 atoms:
Cs1 0.000 0.000 0.000
Cs2 0.750 0.250 0.500
Nb1 0.295 0.625 0.170
Nb2 0.375 0.545 0.670
Nb3 0.455 0.125 0.830
Nb4 0.875 0.705 0.330
Rh1 0.250 0.750 0.500
Rh2 0.500 0.500 0.000

Calculated values
theoretical density = 6088 kg/m³
SG = I-42d, No. 122
formation enthalpy at 0 K = 1.363 eV/atom
density of states at the Fermi level = 4.3 states/eV/f.u.
size of the total moment = 0.0 μB per formula unit

No. 4
A relaxed Rb2InSbAu6 crystal, computed with PBE-GGA.

Lattice parameters (Å, degrees): 7.599 7.599 7.591 119.93 119.93 90.01
Fractional coordinates of all 10 atoms:
Rb1 0.250 0.750 0.000
Rb2 0.750 0.250 0.000
In1 0.000 0.000 0.500
Sb1 0.500 0.500 0.500
Au1 0.249 0.249 0.500
Au2 0.249 0.751 0.500
Au3 0.250 0.250 0.999
Au4 0.750 0.750 0.001
Au5 0.751 0.249 0.500
Au6 0.751 0.751 0.500

Calculated values
theoretical density = 8497 kg/m³
SG = C2/m, No. 12
density of states at the Fermi level = 1.7 states/eV/f.u.
raw formation energy = -11 kJ/mol of atoms
size of the total moment = 0.0 μB per formula unit

No. 5
A relaxed CaTbPmSc crystal, computed with PBE-GGA.

Lattice parameters (Å, degrees): 5.656 5.656 5.656 60.00 60.00 60.00
Fractional coordinates of all 4 atoms:
Ca1 0.000 0.000 0.000
Tb1 0.250 0.250 0.250
Pm1 0.750 0.750 0.750
Sc1 0.500 0.500 0.500

Calculated values
theoretical density = 5049 kg/m³
SG = F-43m, No. 216
formation enthalpy at 0 K = 0.151 eV/atom
density of states at the Fermi level = 5.8 states/eV/f.u.
size of the total moment = 0.0 μB per formula unit

No. 6
A relaxed K2SmP2S6 crystal, computed with PBE-GGA.

Lattice parameters (Å, degrees): 6.832 6.832 8.073 114.32 114.32 61.11
Fractional coordinates of all 11 atoms:
K1 0.208 0.208 0.193
K2 0.792 0.792 0.807
Sm1 0.000 0.000 0.500
P1 0.457 0.457 0.826
P2 0.543 0.543 0.174
S1 0.207 0.693 0.200
S2 0.260 0.260 0.623
S3 0.307 0.793 0.800
S4 0.693 0.207 0.200
S5 0.740 0.740 0.377
S6 0.793 0.307 0.800

Calculated values
theoretical density = 2767 kg/m³
SG = C2/m, No. 12
density of states at the Fermi level = 2.4 states/eV/f.u.
raw formation energy = -87 kJ/mol of atoms
size of the total moment = 0.0 μB per formula unit

No. 7
A relaxed La2SiP crystal, computed with PBE-GGA.

Lattice parameters (Å, degrees): 12.256 12.256 4.104 90.00 90.00 159.36
Fractional coordinates of all 8 atoms:
La1 0.068 0.932 0.750
La2 0.310 0.690 0.750
La3 0.690 0.310 0.250
La4 0.932 0.068 0.250
Si1 0.469 0.531 0.750
Si2 0.531 0.469 0.250
P1 0.188 0.812 0.750
P2 0.812 0.188 0.250

Calculated values
theoretical density = 5149 kg/m³
SG = Cmcm, No. 63
density of states at the Fermi level = 2.1 states/eV/f.u.
raw formation energy = -112 kJ/mol of atoms
size of the total moment = 0.0 μB per formula unit

No. 8
A relaxed PrYEr6 crystal, computed with PBE-GGA.

Lattice parameters (Å, degrees): 7.084 7.084 5.001 90.00 90.00 90.00
Fractional coordinates of all 8 atoms:
Pr1 0.000 0.000 0.000
Y1 0.500 0.500 0.000
Er1 0.000 0.500 0.000
Er2 0.251 0.251 0.500
Er3 0.251 0.749 0.500
Er4 0.500 0.000 0.000
Er5 0.749 0.251 0.500
Er6 0.749 0.749 0.500

Calculated values
theoretical density = 8161 kg/m³
SG = P4/mmm, No. 123
formation enthalpy at 0 K = 0.023 eV/atom
density of states at the Fermi level = 10.1 states/eV/f.u.
size of the total moment = 0.0 μB per formula unit

No. 9
A relaxed BaGePd3 crystal, computed with PBE-GGA.

Lattice parameters (Å, degrees): 4.868 4.868 4.868 90.00 90.00 90.00
Fractional coordinates of all 5 atoms:
Ba1 0.000 0.000 0.000
Ge1 0.500 0.500 0.500
Pd1 0.000 0.500 0.500
Pd2 0.500 0.000 0.500
Pd3 0.500 0.500 0.000

Calculated values
theoretical density = 7617 kg/m³
SG = Pm-3m, No. 221
formation enthalpy at 0 K = -0.416 eV/atom
density of states at the Fermi level = 3.2 states/eV/f.u.
size of the total moment = 0.0 μB per formula unit

No. 10
A relaxed Li2AcPdAu5 crystal, computed with PBE-GGA.

Lattice parameters (Å, degrees): 4.905 4.905 7.374 90.00 90.00 90.00
Fractional coordinates of all 9 atoms:
Li1 0.000 0.000 0.158
Li2 0.000 0.000 0.842
Ac1 0.500 0.500 0.500
Pd1 0.500 0.500 0.000
Au1 0.000 0.000 0.500
Au2 0.000 0.500 0.202
Au3 0.000 0.500 0.798
Au4 0.500 0.000 0.202
Au5 0.500 0.000 0.798

Calculated values
theoretical density = 12469 kg/m³
SG = P4/mmm, No. 123
formation enthalpy at 0 K = -0.400 eV/atom
density of states at the Fermi level = 4.5 states/eV/f.u.
size of the total moment = 0.0 μB per formula unit

No. 11
A relaxed Li2Tl2Ag crystal, computed with PBE-GGA.

Lattice parameters (Å, degrees): 7.293 7.293 3.853 90.00 90.00 90.00
Fractional coordinates of all 10 atoms:
Li1 0.140 0.360 0.000
Li2 0.360 0.860 0.000
Li3 0.640 0.140 0.000
Li4 0.860 0.640 0.000
Tl1 0.164 0.664 0.500
Tl2 0.336 0.164 0.500
Tl3 0.664 0.836 0.500
Tl4 0.836 0.336 0.500
Ag1 0.000 0.000 0.000
Ag2 0.500 0.500 0.000

Calculated values
theoretical density = 8596 kg/m³
SG = P4/mbm, No. 127
formation enthalpy at 0 K = -0.095 eV/atom
density of states at the Fermi level = 1.3 states/eV/f.u.
size of the total moment = 0.0 μB per formula unit

No. 12
A relaxed Mg3CdRu crystal, computed with PBE-GGA.

Lattice parameters (Å, degrees): 4.959 4.959 4.959 90.00 90.00 90.00
Fractional coordinates of all 5 atoms:
Mg1 0.000 0.000 0.500
Mg2 0.000 0.500 0.000
Mg3 0.500 0.000 0.000
Cd1 0.500 0.500 0.500
Ru1 0.000 0.000 0.000

Calculated values
theoretical density = 3900 kg/m³
SG = Pm-3m, No. 221
formation enthalpy at 0 K = 0.350 eV/atom
density of states at the Fermi level = 2.5 states/eV/f.u.
size of the total moment = 0.0 μB per formula unit